Entry 1:
Here is crystalline Cs3KCu2F9 at its relaxed geometry from Alexandria. Energies are from PBE.

a = 6.250 Å, b = 6.250 Å, c = 7.780 Å
α = 90.00°, β = 90.00°, γ = 120.00°
Fractional positions:
Cs1 0.000 0.000 0.000
Cs2 0.333 0.667 0.666
Cs3 0.667 0.333 0.334
K1 0.000 0.000 0.500
Cu1 0.333 0.667 0.148
Cu2 0.667 0.333 0.852
F1 0.000 0.500 0.000
F2 0.187 0.374 0.294
F3 0.187 0.813 0.294
F4 0.374 0.187 0.706
F5 0.500 0.000 0.000
F6 0.500 0.500 0.000
F7 0.626 0.813 0.294
F8 0.813 0.187 0.706
F9 0.813 0.626 0.706

As for the space-group type: P-3m1 (164). The value obtained for the mass density is 4.64 g/cm3. The calculation puts the uncorrected formation energy at -2.198 eV per atom. For the total DFT energy (no corrections), the calculation gives -4.111 eV/atom. The value obtained for the total magnetization is 3.022 μB/cell.

Entry 2:
Here is crystalline CsK2CuF6 at its relaxed geometry from Alexandria. Energies are from PBE.

a = 6.223 Å, b = 6.775 Å, c = 10.791 Å
α = 90.00°, β = 124.25°, γ = 90.00°
Fractional positions:
Cs1 0.000 0.000 0.000
Cs2 0.000 0.500 0.500
K1 0.220 0.029 0.728
K2 0.220 0.471 0.228
K3 0.780 0.529 0.772
K4 0.780 0.971 0.272
Cu1 0.500 0.000 0.500
Cu2 0.500 0.500 0.000
F1 0.220 0.150 0.481
F2 0.220 0.350 0.981
F3 0.252 0.716 0.889
F4 0.252 0.784 0.389
F5 0.428 0.113 0.314
F6 0.428 0.387 0.814
F7 0.572 0.613 0.186
F8 0.572 0.887 0.686
F9 0.748 0.216 0.611
F10 0.748 0.284 0.111
F11 0.780 0.650 0.019
F12 0.780 0.850 0.519

As for the space-group type: P2_1/c (14). The value obtained for the mass density is 3.43 g/cm3. The calculation puts the uncorrected formation energy at -2.283 eV per atom. For the total DFT energy (no corrections), the calculation gives -4.121 eV/atom. The value obtained for the total magnetization is 4.000 μB/cell.

Entry 3:
Here is crystalline Cs3KCu2F6 at its relaxed geometry from Alexandria. Energies are from PBE.

a = 6.744 Å, b = 6.744 Å, c = 7.835 Å
α = 90.00°, β = 90.00°, γ = 120.00°
Fractional positions:
Cs1 0.000 0.000 0.000
Cs2 0.333 0.667 0.704
Cs3 0.667 0.333 0.296
K1 0.000 0.000 0.500
Cu1 0.333 0.667 0.262
Cu2 0.667 0.333 0.738
F1 0.167 0.333 0.279
F2 0.167 0.833 0.279
F3 0.333 0.167 0.721
F4 0.667 0.833 0.279
F5 0.833 0.167 0.721
F6 0.833 0.667 0.721

As for the space-group type: P-3m1 (164). The value obtained for the mass density is 3.65 g/cm3. The calculation puts the uncorrected formation energy at -2.075 eV per atom. For the total DFT energy (no corrections), the calculation gives -3.999 eV/atom. The value obtained for the total magnetization is 0.236 μB/cell.

Entry 4:
Here is crystalline CsK2CuF4 at its relaxed geometry from Alexandria. Energies are from PBE.

a = 6.650 Å, b = 6.650 Å, c = 13.271 Å
α = 90.00°, β = 90.00°, γ = 146.20°
Fractional positions:
Cs1 0.103 0.897 0.750
Cs2 0.897 0.103 0.250
K1 0.369 0.631 0.547
K2 0.369 0.631 0.953
K3 0.631 0.369 0.047
K4 0.631 0.369 0.453
Cu1 0.166 0.834 0.250
Cu2 0.834 0.166 0.750
F1 0.000 0.000 0.000
F2 0.000 0.000 0.500
F3 0.261 0.739 0.123
F4 0.261 0.739 0.377
F5 0.405 0.595 0.750
F6 0.595 0.405 0.250
F7 0.739 0.261 0.623
F8 0.739 0.261 0.877

As for the space-group type: Cmcm (63). The value obtained for the mass density is 3.57 g/cm3. The calculation puts the uncorrected formation energy at -2.244 eV per atom. For the total DFT energy (no corrections), the calculation gives -4.072 eV/atom. The value obtained for the total magnetization is 0.228 μB/cell.

Entry 5:
Here is crystalline CsK2Cu2F7 at its relaxed geometry from Alexandria. Energies are from PBE.

a = 11.139 Å, b = 11.139 Å, c = 11.139 Å
α = 158.32°, β = 158.32°, γ = 30.86°
Fractional positions:
Cs1 0.000 0.000 0.000
K1 0.185 0.185 0.000
K2 0.815 0.815 0.000
Cu1 0.401 0.401 0.000
Cu2 0.599 0.599 0.000
F1 0.102 0.602 0.500
F2 0.308 0.308 0.000
F3 0.398 0.898 0.500
F4 0.500 0.500 0.000
F5 0.602 0.102 0.500
F6 0.692 0.692 0.000
F7 0.898 0.398 0.500

As for the space-group type: I4/mmm (139). The value obtained for the mass density is 4.15 g/cm3. The calculation puts the uncorrected formation energy at -2.174 eV per atom. For the total DFT energy (no corrections), the calculation gives -4.203 eV/atom. The value obtained for the total magnetization is 1.998 μB/cell.

Entry 6:
Here is crystalline CsLaCuF6 at its relaxed geometry from Alexandria. Energies are from PBE.

a = 7.639 Å, b = 7.639 Å, c = 7.639 Å
α = 117.94°, β = 116.38°, γ = 95.00°
Fractional positions:
Cs1 0.418 0.168 0.250
Cs2 0.582 0.832 0.750
La1 0.000 0.000 0.500
La2 0.000 0.500 0.000
Cu1 0.000 0.500 0.500
Cu2 0.500 0.500 0.000
F1 0.128 0.878 0.250
F2 0.140 0.390 0.750
F3 0.144 0.450 0.332
F4 0.144 0.812 0.693
F5 0.382 0.188 0.832
F6 0.382 0.550 0.193
F7 0.618 0.450 0.807
F8 0.618 0.812 0.168
F9 0.856 0.188 0.307
F10 0.856 0.550 0.668
F11 0.860 0.610 0.250
F12 0.872 0.122 0.750

As for the space-group type: Imma (74). The value obtained for the mass density is 4.56 g/cm3. The calculation puts the uncorrected formation energy at -2.964 eV per atom. For the total DFT energy (no corrections), the calculation gives -5.309 eV/atom. The value obtained for the total magnetization is 2.000 μB/cell.

Entry 7:
Here is crystalline Cs2Li2CuF6 at its relaxed geometry from Alexandria. Energies are from PBE.

a = 6.302 Å, b = 6.302 Å, c = 6.428 Å
α = 112.30°, β = 112.30°, γ = 55.76°
Fractional positions:
Cs1 0.215 0.215 0.169
Cs2 0.785 0.785 0.831
Li1 0.424 0.424 0.713
Li2 0.576 0.576 0.287
Cu1 0.000 0.000 0.500
F1 0.224 0.758 0.281
F2 0.242 0.776 0.719
F3 0.262 0.262 0.705
F4 0.738 0.738 0.295
F5 0.758 0.224 0.281
F6 0.776 0.242 0.719

As for the space-group type: C2/m (12). The value obtained for the mass density is 3.98 g/cm3. The calculation puts the uncorrected formation energy at -2.442 eV per atom. For the total DFT energy (no corrections), the calculation gives -4.338 eV/atom. The value obtained for the total magnetization is 1.011 μB/cell.

Entry 8:
Here is crystalline Cs2LiCuF6 at its relaxed geometry from Alexandria. Energies are from PBE.

a = 6.341 Å, b = 6.341 Å, c = 6.341 Å
α = 121.69°, β = 121.69°, γ = 87.09°
Fractional positions:
Cs1 0.250 0.750 0.500
Cs2 0.750 0.250 0.500
Li1 0.000 0.000 0.000
Cu1 0.500 0.500 0.000
F1 0.199 0.199 0.000
F2 0.294 0.294 0.587
F3 0.294 0.706 0.000
F4 0.706 0.294 0.000
F5 0.706 0.706 0.413
F6 0.801 0.801 0.000

As for the space-group type: I4/mmm (139). The value obtained for the mass density is 4.26 g/cm3. The calculation puts the uncorrected formation energy at -2.272 eV per atom. For the total DFT energy (no corrections), the calculation gives -4.167 eV/atom. The value obtained for the total magnetization is 0.114 μB/cell.